# 1
A crystal of La2Ag relaxed with PBEsol, computed with SCAN.

Lattice parameters (Å, degrees): 9.995 9.995 9.995 60.00 60.00 60.00
Positions (direct):
Ag1 0.844 0.469 0.844
Ag2 0.469 0.844 0.844
Ag3 0.406 0.781 0.406
Ag4 0.844 0.844 0.469
Ag5 0.844 0.844 0.844
Ag6 0.406 0.406 0.781
Ag7 0.781 0.406 0.406
Ag8 0.406 0.406 0.406
La1 0.190 0.810 0.190
La2 0.125 0.625 0.625
La3 0.440 0.060 0.060
La4 0.190 0.190 0.810
La5 0.810 0.190 0.190
La6 0.060 0.440 0.440
La7 0.810 0.190 0.810
La8 0.060 0.440 0.060
La9 0.810 0.810 0.190
La10 0.440 0.440 0.060
La11 0.440 0.060 0.440
La12 0.190 0.810 0.810
La13 0.625 0.125 0.625
La14 0.060 0.060 0.440
La15 0.625 0.625 0.625
La16 0.625 0.625 0.125

Values from the calculation:
Space group: No. 227
Formation energy, eV/atom: -0.176

---

# 2
A crystal of TaTi2FeO relaxed with PBEsol, computed with SCAN.

Lattice parameters (Å, degrees): 3.961 3.961 4.240 90.00 90.00 90.00
Each line ends with the local moment (μB).
Positions (direct):
O1 0.000 0.000 0.000  0.00
Ti1 0.500 0.000 0.000  -0.09
Ti2 0.000 0.500 0.000  -0.09
Ta1 0.000 0.000 0.500  -0.11
Fe1 0.500 0.500 0.500  2.60

Values from the calculation:
Space group: No. 123
Formation energy (no corrections), eV per atom: -0.945

---

# 3
A crystal of CaCd3Ga relaxed with PBEsol, computed with SCAN.

Lattice parameters (Å, degrees): 5.098 5.098 5.098 90.00 90.00 90.00
Positions (direct):
Cd1 0.000 0.500 0.000
Cd2 0.000 0.000 0.500
Cd3 0.500 0.000 0.000
Ga1 0.000 0.000 0.000
Ca1 0.500 0.500 0.500

Values from the calculation:
Space group: No. 221
Formation energy, eV/atom: 0.060

---

# 4
A crystal of MnSbRu2 relaxed with PBEsol, computed with SCAN.

Lattice parameters (Å, degrees): 2.876 4.885 5.133 117.45 104.76 93.06
Each line ends with the local moment (μB).
Positions (direct):
Ru1 0.500 0.500 0.500  0.34
Ru2 0.000 0.000 0.500  0.34
Sb1 0.500 0.000 0.000  -0.02
Mn1 0.000 0.500 0.000  3.73

Values from the calculation:
Space group: No. 12
Formation energy (no corrections), eV per atom: 0.193

---

# 5
A crystal of BPO4 relaxed with PBEsol, computed with SCAN.

Lattice parameters (Å, degrees): 4.382 4.551 4.382 61.22 90.00 118.78
Positions (direct):
O1 0.264 0.254 0.132
O2 0.614 0.746 0.264
O3 0.132 0.746 0.990
O4 0.990 0.254 0.614
B1 0.250 0.500 0.250
P1 0.000 0.000 0.000

Values from the calculation:
Space group: No. 82
Formation energy (no corrections), eV per atom: -2.548

---

# 6
A crystal of CoCuNO2 relaxed with PBEsol, computed with SCAN.

Lattice parameters (Å, degrees): 3.612 3.714 3.714 90.00 90.00 90.00
Each line ends with the local moment (μB).
Positions (direct):
O1 0.000 0.500 0.000  0.31
O2 0.000 0.000 0.500  0.31
Cu1 0.000 0.000 0.000  0.07
N1 0.500 0.000 0.000  0.94
Co1 0.500 0.500 0.500  2.71

Values from the calculation:
Space group: No. 123
Formation energy (no corrections), eV per atom: 0.590

---

# 7
A crystal of MgCrCd2 relaxed with PBEsol, computed with SCAN.

Lattice parameters (Å, degrees): 3.458 3.458 6.426 90.00 90.00 90.00
Each line ends with the local moment (μB).
Positions (direct):
Mg1 0.500 0.500 0.740  -0.01
Cd1 0.000 0.000 0.998  -0.01
Cd2 0.500 0.500 0.267  -0.02
Cr1 0.000 0.000 0.495  3.92

Values from the calculation:
Space group: No. 99
Formation energy, eV/atom: 0.058

---

# 8
A crystal of SrZnNi2 relaxed with PBEsol, computed with SCAN.

Lattice parameters (Å, degrees): 4.084 4.094 5.703 110.94 90.00 119.91
Positions (direct):
Zn1 0.690 0.379 0.070
Ni1 0.312 0.625 0.937
Ni2 0.997 0.993 0.990
Sr1 0.501 0.003 0.503

Values from the calculation:
Space group: No. 8
Formation energy, eV/atom: -0.141

---

| no. | density of states at the Fermi level (states/eV per cell) |
| --- | --- |
| 1 | 26.039 |
| 2 | 4.162 |
| 3 | 2.208 |
| 4 | 2.711 |
| 5 | 0.000 |
| 6 | 1.303 |
| 7 | 1.020 |
| 8 | 3.652 |